Entry 1:
A relaxed structure of Er5In2NiRu2. Source: Alexandria, functional PBE.

Unit cell a=11.5953 b=11.5953 c=3.4260 alpha=90.00 beta=90.00 gamma=90.00
Closest atoms and distances in Å follow each position.
Atoms (fractional coordinates):
Er: 0.0000 0.5000 0.0000  4 Ru 2.83
Er: 0.0633 0.1960 0.0000  2 Ru 2.72, 2 Ni 2.94
Er: 0.1960 0.9367 0.0000  2 Ru 2.72, 2 Ni 2.94
Er: 0.3040 0.4367 0.0000  2 Ru 2.72, 2 Ni 2.94
Er: 0.4367 0.6960 0.0000  2 Ru 2.72, 2 Ni 2.94
Er: 0.5000 0.0000 0.0000  4 Ru 2.83
Er: 0.5633 0.3040 0.0000  2 Ru 2.72, 2 Ni 2.94
Er: 0.6960 0.5633 0.0000  2 Ru 2.72, 2 Ni 2.94
Er: 0.8040 0.0633 0.0000  2 Ru 2.72, 2 Ni 2.94
Er: 0.9367 0.8040 0.0000  2 Ru 2.72, 2 Ni 2.94
In: 0.1808 0.6808 0.5000  1 Ru 2.98
In: 0.3192 0.1808 0.5000  1 Ru 2.98
In: 0.6808 0.8192 0.5000  1 Ru 2.98
In: 0.8192 0.3192 0.5000  1 Ru 2.98
Ni: 0.0000 0.0000 0.5000  8 Er 2.94
Ni: 0.5000 0.5000 0.5000  8 Er 2.94
Ru: 0.1372 0.3628 0.5000  6 Er 2.72-2.83, 1 In 2.98
Ru: 0.3628 0.8628 0.5000  6 Er 2.72-2.83, 1 In 2.98
Ru: 0.6372 0.1372 0.5000  6 Er 2.72-2.83, 1 In 2.98
Ru: 0.8628 0.6372 0.5000  6 Er 2.72-2.83, 1 In 2.98

## Properties
- formation energy (eV per atom) = -0.36

Entry 2:
A relaxed structure of Li2PmCd10. Source: Alexandria, functional PBE.

Unit cell a=10.0861 b=7.6722 c=7.6247 alpha=82.50 beta=48.95 gamma=48.55
Closest atoms and distances in Å follow each position.
Atoms (fractional coordinates):
Li: 0.0000 0.0000 0.5000  2 Li 2.76, 8 Cd 2.81-2.93
Li: 0.5000 0.5000 0.0000  2 Li 2.76, 8 Cd 2.81-2.93
Pm: 0.0000 0.0000 0.0000  16 Cd 3.50-3.84, 4 Li 3.81
Cd: 0.0000 0.5000 0.0000  6 Cd 2.76-2.99
Cd: 0.0142 0.6524 0.3476  2 Li 2.93, 6 Cd 3.08-3.15
Cd: 0.2867 0.5097 0.4903  2 Li 2.81, 6 Cd 2.91-3.09
Cd: 0.3476 0.9858 0.0142  2 Li 2.93, 6 Cd 3.08-3.15
Cd: 0.4903 0.7133 0.2867  2 Li 2.81, 6 Cd 2.91-3.09
Cd: 0.5000 0.0000 0.5000  6 Cd 2.76-2.99
Cd: 0.5097 0.2867 0.7133  2 Li 2.81, 6 Cd 2.91-3.09
Cd: 0.6524 0.0142 0.9858  2 Li 2.93, 6 Cd 3.08-3.15
Cd: 0.7133 0.4903 0.5097  2 Li 2.81, 6 Cd 2.91-3.09
Cd: 0.9858 0.3476 0.6524  2 Li 2.93, 6 Cd 3.08-3.15

## Properties
- formation energy (eV per atom) = -0.19

Entry 3:
A relaxed structure of SrFeTe. Source: Alexandria, functional PBE.

Unit cell a=6.2306 b=6.2306 c=6.2306 alpha=145.22 beta=145.22 gamma=50.00
Closest atoms and distances in Å follow each position.
Atoms (fractional coordinates):
Sr: 0.0000 0.0000 0.0000  5 Te 3.29-3.54, 5 Fe 3.36-3.49
Fe: 0.7023 0.7023 0.0000  4 Te 2.82
Te: 0.2911 0.2911 0.0000  4 Fe 2.82

## Properties
- formation energy without anion corrections (eV per formula unit) = -0.16

Entry 4:
A relaxed structure of Sr2Sn3BiAu4. Source: Alexandria, functional PBE.

Unit cell a=4.8090 b=4.8090 c=11.5678 alpha=90.00 beta=90.00 gamma=90.00
Closest atoms and distances in Å follow each position.
Atoms (fractional coordinates):
Sr: 0.0000 0.5000 0.2319  8 Au 3.60-3.68, 6 Sn 3.63-3.92, 2 Bi 3.92
Sr: 0.5000 0.0000 0.7681  8 Au 3.60-3.68, 6 Sn 3.63-3.92, 2 Bi 3.92
Sn: 0.0000 0.5000 0.8774  5 Au 2.68-2.79
Sn: 0.5000 0.0000 0.1226  5 Au 2.68-2.79
Sn: 0.5000 0.5000 0.5000  4 Au 2.94
Bi: 0.0000 0.0000 0.5000  4 Au 2.94
Au: 0.0000 0.0000 0.0000  4 Sn 2.79
Au: 0.0000 0.5000 0.6460  3 Sn 2.68-2.94, 2 Bi 2.94
Au: 0.5000 0.0000 0.3540  3 Sn 2.68-2.94, 2 Bi 2.94
Au: 0.5000 0.5000 0.0000  4 Sn 2.79

## Properties
- formation energy (eV per atom) = -0.53

Entry 5:
A relaxed structure of VReS2N. Source: Alexandria, functional PBE.

Unit cell a=4.6852 b=4.6852 c=3.5566 alpha=90.00 beta=90.00 gamma=90.00
Closest atoms and distances in Å follow each position.
Atoms (fractional coordinates):
V: 0.0000 0.0000 0.0000  2 N 1.78
Re: 0.5000 0.5000 0.5000  8 S 2.94
S: 0.0000 0.5000 0.0000  2 V 2.34
S: 0.5000 0.0000 0.0000  2 V 2.34
N: 0.0000 0.0000 0.5000  2 V 1.78

## Properties
- formation energy without anion corrections (eV per formula unit) = 3.82

Entry 6:
A relaxed structure of DyY2Ga6. Source: Alexandria, functional PBE.

Unit cell a=7.2908 b=7.2908 c=4.1295 alpha=90.00 beta=90.00 gamma=120.00
Closest atoms and distances in Å follow each position.
Atoms (fractional coordinates):
Dy: 0.0000 0.0000 0.0000  12 Ga 3.19
Y: 0.3333 0.6667 0.0000  12 Ga 3.19
Y: 0.6667 0.3333 0.0000  12 Ga 3.19
Ga: 0.0000 0.3331 0.5000  3 Ga 2.43
Ga: 0.0000 0.6669 0.5000  3 Ga 2.43
Ga: 0.3331 0.0000 0.5000  3 Ga 2.43
Ga: 0.3331 0.3331 0.5000  3 Ga 2.43
Ga: 0.6669 0.0000 0.5000  3 Ga 2.43
Ga: 0.6669 0.6669 0.5000  3 Ga 2.43

## Properties
- formation energy (eV per atom) = -0.65

Entry 7:
A relaxed structure of In2CuSi. Source: Alexandria, functional PBE.

Unit cell a=3.1481 b=3.1481 c=7.7876 alpha=90.00 beta=90.00 gamma=90.00
Closest atoms and distances in Å follow each position.
Atoms (fractional coordinates):
In: 0.0000 0.0000 0.2298  4 Cu 2.86, 4 Si 3.06, 4 In 3.15
In: 0.0000 0.0000 0.7702  4 Cu 2.86, 4 Si 3.06, 4 In 3.15
Cu: 0.5000 0.5000 0.0000  8 In 2.86, 4 Cu 3.15
Si: 0.5000 0.5000 0.5000  8 In 3.06, 4 Si 3.15

## Properties
- formation energy without anion corrections (eV per formula unit) = 1.26

Entry 8:
A relaxed structure of PmSi4Ge. Source: Alexandria, functional PBE.

Unit cell a=5.2985 b=5.2985 c=5.2985 alpha=60.00 beta=60.00 gamma=60.00
Closest atoms and distances in Å follow each position.
Atoms (fractional coordinates):
Pm: 0.0000 0.0000 0.0000  12 Si 3.11, 4 Ge 3.24
Si: 0.3757 0.3757 0.3757  6 Si 2.63-2.66
Si: 0.3757 0.3757 0.8728  6 Si 2.63-2.66
Si: 0.3757 0.8728 0.3757  6 Si 2.63-2.66
Si: 0.8728 0.3757 0.3757  6 Si 2.63-2.66
Ge: 0.7500 0.7500 0.7500  12 Si 3.10, 4 Pm 3.24

## Properties
- formation energy without anion corrections (eV per formula unit) = -0.31

Entry 9:
A relaxed structure of RuPt2W. Source: Alexandria, functional PBE.

Unit cell a=4.4420 b=4.4420 c=4.4420 alpha=60.00 beta=60.00 gamma=60.00
Closest atoms and distances in Å follow each position.
Atoms (fractional coordinates):
Ru: 0.0000 0.0000 0.0000  4 Pt 2.72, 4 W 2.72
Pt: 0.5000 0.5000 0.5000  4 Pt 2.72, 4 W 2.72
Pt: 0.7500 0.7500 0.7500  4 Ru 2.72, 4 Pt 2.72
W: 0.2500 0.2500 0.2500  4 Ru 2.72, 4 Pt 2.72

## Properties
- formation energy (eV per atom) = 0.11

Entry 10:
A relaxed structure of HoThCu4. Source: Alexandria, functional PBE.

Unit cell a=5.5167 b=5.5167 c=5.5167 alpha=133.75 beta=102.41 gamma=95.37
Closest atoms and distances in Å follow each position.
Atoms (fractional coordinates):
Ho: 0.0000 0.0000 0.0000  12 Cu 2.98-3.13
Th: 0.5711 0.0711 0.5000  12 Cu 2.99-3.12
Cu: 0.1595 0.3665 0.7929  3 Cu 2.50-2.53
Cu: 0.4025 0.6978 0.7048  3 Cu 2.50-2.53
Cu: 0.5736 0.3665 0.2071  3 Cu 2.50-2.53
Cu: 0.9930 0.6978 0.2952  3 Cu 2.50-2.53

## Properties
- formation energy (eV per atom) = -0.23

Entry 11:
A relaxed structure of NpRe2B. Source: Alexandria, functional PBE.

Unit cell a=8.2107 b=8.2107 c=8.2107 alpha=20.77 beta=20.77 gamma=20.77
Closest atoms and distances in Å follow each position.
Atoms (fractional coordinates):
Np: 0.0000 0.0000 0.0000  2 Re 2.68, 6 Np 2.96
Re: 0.1113 0.1113 0.1113  3 B 2.17
Re: 0.8887 0.8887 0.8887  3 B 2.17
B: 0.5000 0.5000 0.5000  6 Re 2.17

## Properties
- formation energy (eV per atom) = 0.46

Entry 12:
A relaxed structure of K2TbAgF6. Source: Alexandria, functional PBE.

Unit cell a=6.3020 b=6.4820 c=10.9135 alpha=90.00 beta=124.17 gamma=90.00
Closest atoms and distances in Å follow each position.
Atoms (fractional coordinates):
K: 0.2273 0.0484 0.2450  5 F 2.66-2.87
K: 0.2273 0.4516 0.7450  5 F 2.66-2.87
K: 0.7727 0.5484 0.2550  5 F 2.66-2.87
K: 0.7727 0.9516 0.7550  5 F 2.66-2.87
Tb: 0.5000 0.0000 0.0000  6 F 2.20-2.21
Tb: 0.5000 0.5000 0.5000  6 F 2.20-2.21
Ag: 0.0000 0.0000 0.5000  6 F 2.45-2.57
Ag: 0.0000 0.5000 0.0000  6 F 2.45-2.57
F: 0.1745 0.1936 0.9541  1 Tb 2.21, 1 Ag 2.45
F: 0.1745 0.3064 0.4541  1 Tb 2.21, 1 Ag 2.45
F: 0.2465 0.7288 0.9320  1 Tb 2.21
F: 0.2465 0.7712 0.4320  1 Tb 2.21
F: 0.3788 0.0521 0.7700  1 Tb 2.20
F: 0.3788 0.4479 0.2700  1 Tb 2.20
F: 0.6212 0.5521 0.7300  1 Tb 2.20
F: 0.6212 0.9479 0.2300  1 Tb 2.20
F: 0.7535 0.2288 0.5680  1 Tb 2.21
F: 0.7535 0.2712 0.0680  1 Tb 2.21
F: 0.8255 0.6936 0.5459  1 Tb 2.21, 1 Ag 2.45
F: 0.8255 0.8064 0.0459  1 Tb 2.21, 1 Ag 2.45

## Properties
- formation energy without anion corrections (eV per formula unit) = -29.68